Record 1
# La2MoIr PBE relaxed
# Formation energy ... 13.84 kJ per mole of atoms
# Energy relative to the lowest polymorph listed for this composition ... 251 meV per atom
# Total magnetic moment ... 2.41 μB/f.u.
# Raw total energy ... -29.0 eV per cell
data_La2MoIr
_space_group_name_H-M_alt 'P 4/m m m'
_space_group_IT_number 123
_space_group_name_Hall '-P 4 2'
_cell_length_a 3.681
_cell_length_b 3.681
_cell_length_c 7.141
_cell_angle_alpha 90.00
_cell_angle_beta 90.00
_cell_angle_gamma 90.00
loop_
_atom_site_label
_atom_site_type_symbol
_atom_site_fract_x
_atom_site_fract_y
_atom_site_fract_z
La1 La 0.000 0.000 0.232
Mo1 Mo 0.500 0.500 0.500
Ir1 Ir 0.500 0.500 0.000


Record 2
# LaMoIr2 PBE relaxed
# Formation energy ... 16.09 kJ per mole of atoms
# Energy relative to the lowest polymorph listed for this composition ... 387 meV per atom
# Total magnetic moment ... 0.00 μB/f.u.
# Raw total energy ... -131.3 eV per cell
data_LaMoIr2
_space_group_name_H-M_alt 'I -4 2 d'
_space_group_IT_number 122
_space_group_name_Hall 'I -4 2bw'
_cell_length_a 7.504
_cell_length_b 7.504
_cell_length_c 5.898
_cell_angle_alpha 90.00
_cell_angle_beta 90.00
_cell_angle_gamma 90.00
loop_
_atom_site_label
_atom_site_type_symbol
_atom_site_fract_x
_atom_site_fract_y
_atom_site_fract_z
La1 La 0.000 0.000 0.000
Mo1 Mo 0.000 0.000 0.500
Ir1 Ir 0.198 0.250 0.625


Record 3
# La2MoIr PBE relaxed
# Formation energy ... 2.23 kJ per mole of atoms
# Energy relative to the lowest polymorph listed for this composition ... 130 meV per atom
# Total magnetic moment ... 0.01 μB/f.u.
# Raw total energy ... -58.9 eV per cell
data_La2MoIr
_space_group_name_H-M_alt 'I m m 2'
_space_group_IT_number 44
_cell_length_a 3.622
_cell_length_b 4.800
_cell_length_c 11.657
_cell_angle_alpha 90.00
_cell_angle_beta 90.00
_cell_angle_gamma 90.00
loop_
_space_group_symop_operation_xyz
'x,y,z'
'-x,-y,z'
'-x,y,z'
'x,-y,z'
'x+1/2,y+1/2,z+1/2'
'-x+1/2,-y+1/2,z+1/2'
'-x+1/2,y+1/2,z+1/2'
'x+1/2,-y+1/2,z+1/2'
loop_
_atom_site_label
_atom_site_type_symbol
_atom_site_fract_x
_atom_site_fract_y
_atom_site_fract_z
La1 La 0.000 0.000 0.000
La2 La 0.000 0.500 0.214
Mo1 Mo 0.000 0.500 0.783
Ir1 Ir 0.000 0.000 0.429